1.
# TlCdIr2

An optimized crystal structure of TlCdIr2 (GGA-PBE, the Alexandria database).

```
TlCdIr2
1.0
2.958 0.000 0.000
0.000 4.708 0.000
-0.201 0.000 5.294
Tl Cd Ir
1 1 2
Cartesian
0.000 0.000 0.000
1.379 0.000 2.647
0.564 2.354 1.489
2.193 2.354 3.805
```

Computed properties:
ΔE_f   47.6 kJ per mole of atoms
Density of states at the Fermi level   0.436 states/eV per atom
SG   P2/m
E_tot   -19.029 eV/cell

---

2.
# TlCdIr

An optimized crystal structure of TlCdIr (GGA-PBE, the Alexandria database).

```
TlCdIr
1.0
-1.590 1.954 4.737
1.590 -1.954 4.737
1.590 1.954 -4.737
Tl Cd Ir
1 1 1
Cartesian
0.000 0.000 0.000
0.000 0.000 2.955
0.000 0.000 6.275
```

Computed properties:
ΔE_f   36.6 kJ per mole of atoms
Density of states at the Fermi level   0.439 states/eV per atom
SG   Imm2
Polymorph energy (0 for the lowest one)   98 meV/atom
E_tot   -11.004 eV/cell